# 1
First-principles (PBE) data for a relaxed structure of TbAg2Br6, as listed in Alexandria via LeMat-Bulk.

Cell lengths 14.4667, 13.5739, 7.1921 Å; angles 90.00, 108.47, 90.00 degrees
Space group C2/c (No. 15)
Inequivalent atoms, fractional coordinates:
1 Tb 0.0000 0.0827 0.2500 x4
2 Ag 0.0866 0.4038 0.1535 x8
3 Br 0.1139 0.4187 0.5504 x8
4 Br 0.1155 0.0657 0.6477 x8
5 Br 0.1304 0.2186 0.1753 x8

Calculated values
Formation energy without anion corrections in eV/atom: -0.94

***

# 2
First-principles (PBE) data for a relaxed structure of Tb5PrTm3, as listed in Alexandria via LeMat-Bulk.

Cell lengths 16.1733, 6.6879, 11.3756 Å; angles 90.00, 108.10, 90.00 degrees
Space group C2/c (No. 15)
Inequivalent atoms, fractional coordinates:
1 Tb 0.0000 0.1816 0.2500 x4
2 Tb 0.1087 0.0062 0.0457 x8
3 Tb 0.1758 0.3831 0.3733 x8
4 Pr 0.0000 0.2722 0.7500 x4
5 Tm 0.0000 0.5000 0.0000 x4
6 Tm 0.2382 0.1184 0.8572 x8

Calculated values
ΔE to the lowest computed polymorph in meV per atom: 0
Energy relative to the elements in eV per formula unit: 1.7

***

# 3
First-principles (PBE) data for a relaxed structure of Hf2NiW, as listed in Alexandria via LeMat-Bulk.

Cell lengths 2.9331, 2.9331, 29.2840 Å; angles 90.00, 90.00, 120.00 degrees
Space group R-3m (No. 166, hexagonal axes)
Inequivalent atoms, fractional coordinates:
1 Hf 0.0000 0.0000 0.0935 x6
2 Ni 0.0000 0.0000 0.5000 x3
3 W 0.0000 0.0000 0.0000 x3

Calculated values
Energy relative to the elements in eV per formula unit: 1.7